CsCaNbSe4 after structural relaxation, computed with PBE.

a b c (Å): 7.009 7.346 9.948
angles (deg): 90.00 107.99 90.00
Fractional coordinates of all 14 atoms:
Cs1 0.742 0.750 0.938
Cs2 0.258 0.250 0.062
Ca1 0.778 0.750 0.455
Ca2 0.222 0.250 0.545
Nb1 0.222 0.750 0.336
Nb2 0.778 0.250 0.664
Se1 0.007 0.507 0.703
Se2 0.993 0.007 0.297
Se3 0.993 0.493 0.297
Se4 0.007 0.993 0.703
Se5 0.426 0.750 0.179
Se6 0.574 0.250 0.821
Se7 0.433 0.750 0.576
Se8 0.567 0.250 0.424

Uncorrected formation energy: -1.25 eV/atom
Final energy: -71.19 eV for the cell shown